No. 1
Ba2Te | PBE | relaxed

Geometry as extended XYZ:
```
12
Lattice="17.0101 0.0000 0.0000 0.0000 4.5250 0.0000 -2.9324 0.0000 7.9654" Properties=species:S:1:pos:R:3 pbc="T T T"
Ba -0.4416 0.0000 1.9331
Ba 1.5696 2.2625 5.7946
Ba 4.0031 0.0000 2.1708
Ba 6.0142 2.2625 6.0324
Ba 8.0635 2.2625 1.9331
Ba 10.0747 0.0000 5.7946
Ba 12.5081 2.2625 2.1708
Ba 14.5193 0.0000 6.0324
Te 2.0475 2.2625 0.3329
Te 3.5251 0.0000 7.6326
Te 10.5526 0.0000 0.3329
Te 12.0302 2.2625 7.6326
```

Summary:
For the total moment, the calculation gives 0.0 μB per formula unit. As for the energy relative to the elements, uncorrected: -1.055 eV per atom. For the volume, the calculation gives 613.1 Å³ per cell.

No. 2
BaTe2 | PBE | relaxed

Geometry as extended XYZ:
```
12
Lattice="8.3528 0.0000 0.0000 0.0000 4.5812 0.0000 0.0000 0.0000 11.7930" Properties=species:S:1:pos:R:3 pbc="T T T"
Ba 1.5371 1.1453 1.7527
Ba 2.6393 3.4359 7.6492
Ba 5.7135 1.1453 4.1438
Ba 6.8157 3.4359 10.0403
Te 0.8520 1.1453 5.3693
Te 1.1599 1.1453 9.9359
Te 3.0165 3.4359 4.0394
Te 3.3244 3.4359 11.2658
Te 5.0285 1.1453 0.5273
Te 5.3364 1.1453 7.7536
Te 7.1929 3.4359 1.8571
Te 7.5008 3.4359 6.4238
```

Summary:
For the total moment, the calculation gives 0.0 μB per formula unit. As for the energy relative to the elements, uncorrected: -1.193 eV per atom. For the volume, the calculation gives 451.3 Å³ per cell.

No. 3
BaTe2 | PBE | relaxed

Geometry as extended XYZ:
```
12
Lattice="11.8667 0.0000 0.0000 0.0000 5.0848 0.0000 -4.0482 0.0000 8.4974" Properties=species:S:1:pos:R:3 pbc="T T T"
Ba 1.4691 0.0000 1.7573
Ba 0.4161 2.5424 6.7402
Ba 7.4024 2.5424 1.7573
Ba 6.3494 0.0000 6.7402
Te -3.1667 2.5424 7.4094
Te -0.6613 0.0000 4.5675
Te 2.5464 2.5424 3.9299
Te 5.0518 0.0000 1.0880
Te 2.7666 0.0000 7.4094
Te 5.2721 2.5424 4.5675
Te 8.4797 0.0000 3.9299
Te 10.9852 2.5424 1.0880
```

Summary:
For the total moment, the calculation gives 0.0 μB per formula unit. As for the energy relative to the elements, uncorrected: -1.081 eV per atom. For the volume, the calculation gives 512.7 Å³ per cell.

No. 4
Ba8Te | PBE | relaxed

Geometry as extended XYZ:
```
9
Lattice="-7.2867 7.2867 2.3740 7.2867 -7.2867 2.3740 7.2867 7.2867 -2.3740" Properties=species:S:1:pos:R:3 pbc="T T T"
Ba 4.9335 0.0000 0.0000
Ba 9.6398 0.0000 0.0000
Ba 0.0000 4.9335 0.0000
Ba 5.1901 5.1901 0.0000
Ba 2.0966 -2.0966 2.3740
Ba -2.0966 2.0966 2.3740
Ba 2.0966 2.0966 2.3740
Ba 0.0000 9.6398 0.0000
Te 0.0000 0.0000 0.0000
```

Summary:
For the total moment, the calculation gives 0.0 μB per formula unit. As for the energy relative to the elements, uncorrected: -0.260 eV per atom. For the volume, the calculation gives 504.2 Å³ per cell.

> What is the formula in the second record?

BaTe2

Copy entry 1 word for word.
Ba2Te | PBE | relaxed

Geometry as extended XYZ:
```
12
Lattice="17.0101 0.0000 0.0000 0.0000 4.5250 0.0000 -2.9324 0.0000 7.9654" Properties=species:S:1:pos:R:3 pbc="T T T"
Ba -0.4416 0.0000 1.9331
Ba 1.5696 2.2625 5.7946
Ba 4.0031 0.0000 2.1708
Ba 6.0142 2.2625 6.0324
Ba 8.0635 2.2625 1.9331
Ba 10.0747 0.0000 5.7946
Ba 12.5081 2.2625 2.1708
Ba 14.5193 0.0000 6.0324
Te 2.0475 2.2625 0.3329
Te 3.5251 0.0000 7.6326
Te 10.5526 0.0000 0.3329
Te 12.0302 2.2625 7.6326
```

Summary:
For the total moment, the calculation gives 0.0 μB per formula unit. As for the energy relative to the elements, uncorrected: -1.055 eV per atom. For the volume, the calculation gives 613.1 Å³ per cell.

> Among the records above, which one has the highest energy relative to the elements, uncorrected?

Ba8Te

Copy entry 4 word for word.
Ba8Te | PBE | relaxed

Geometry as extended XYZ:
```
9
Lattice="-7.2867 7.2867 2.3740 7.2867 -7.2867 2.3740 7.2867 7.2867 -2.3740" Properties=species:S:1:pos:R:3 pbc="T T T"
Ba 4.9335 0.0000 0.0000
Ba 9.6398 0.0000 0.0000
Ba 0.0000 4.9335 0.0000
Ba 5.1901 5.1901 0.0000
Ba 2.0966 -2.0966 2.3740
Ba -2.0966 2.0966 2.3740
Ba 2.0966 2.0966 2.3740
Ba 0.0000 9.6398 0.0000
Te 0.0000 0.0000 0.0000
```

Summary:
For the total moment, the calculation gives 0.0 μB per formula unit. As for the energy relative to the elements, uncorrected: -0.260 eV per atom. For the volume, the calculation gives 504.2 Å³ per cell.